(1)
DFT (PBE) results for a relaxed CaAcZn crystal.

Geometry as CIF:
```
data_CaAcZn
_chemical_formula_sum 'Ca4 Ac4 Zn4'
_cell_length_a 7.526
_cell_length_b 7.526
_cell_length_c 7.526
_cell_angle_alpha 90.00
_cell_angle_beta 90.00
_cell_angle_gamma 90.00
_space_group_name_H-M_alt 'F -4 3 m'
_space_group_IT_number 216
_space_group_name_Hall 'F -4 2 3'
loop_
_atom_site_label
_atom_site_fract_x
_atom_site_fract_y
_atom_site_fract_z
Ca1 0.000 0.000 0.000
Ac1 0.000 0.000 0.500
Zn1 0.250 0.250 0.750
```

Calculated values
Spin magnetization in μB per formula unit: 0.0
VASP energy in eV/atom: -2.49
Crystal system: cubic
Offset from the most stable computed form in meV/atom: 123.7
Formation energy in eV/atom: -0.025

***

(2)
DFT (PBE) results for a relaxed Ca2AcZn9 crystal.

Geometry as CIF:
```
data_Ca2AcZn9
_chemical_formula_sum 'Ca6 Ac3 Zn27'
_cell_length_a 5.6325
_cell_length_b 5.6325
_cell_length_c 26.0757
_cell_angle_alpha 90.00
_cell_angle_beta 90.00
_cell_angle_gamma 120.00
_space_group_name_H-M_alt 'R -3 m'
_space_group_IT_number 166
_space_group_name_Hall '-R 3 2"'
loop_
_atom_site_label
_atom_site_fract_x
_atom_site_fract_y
_atom_site_fract_z
Ca1 0.0000 0.0000 0.1442
Ac1 0.0000 0.0000 0.0000
Zn1 0.0000 0.0000 0.3360
Zn2 0.0000 0.0000 0.5000
Zn3 0.0080 0.5040 0.9171
```

Calculated values
Spin magnetization in μB per formula unit: 0.0
VASP energy in eV/atom: -1.90
Crystal system: trigonal
Formation energy in eV/atom: -0.265

***

(3)
DFT (PBE) results for a relaxed Ca3AcZn2 crystal.

Geometry as CIF:
```
data_Ca3AcZn2
_chemical_formula_sum 'Ca12 Ac4 Zn8'
_cell_length_a 17.759
_cell_length_b 4.323
_cell_length_c 12.402
_cell_angle_alpha 90.00
_cell_angle_beta 121.83
_cell_angle_gamma 90.00
_space_group_name_H-M_alt 'C 1 2/m 1'
_space_group_IT_number 12
loop_
_space_group_symop_operation_xyz
'x,y,z'
'-x,-y,-z'
'-x,y,-z'
'x,-y,z'
'x+1/2,y+1/2,z'
'-x+1/2,-y+1/2,-z'
'-x+1/2,y+1/2,-z'
'x+1/2,-y+1/2,z'
loop_
_atom_site_label
_atom_site_fract_x
_atom_site_fract_y
_atom_site_fract_z
Ca1 0.077 0.000 0.426
Ca2 0.082 0.000 0.940
Ca3 0.150 0.500 0.239
Ac1 0.156 0.500 0.733
Zn1 0.231 0.500 0.046
Zn2 0.234 0.500 0.543
```

Calculated values
Spin magnetization in μB per formula unit: 0.0
VASP energy in eV/atom: -2.24
Crystal system: monoclinic
Formation energy in eV/atom: -0.134

***

(4)
DFT (PBE) results for a relaxed Ca3Ac2Zn2 crystal.

Geometry as CIF:
```
data_Ca3Ac2Zn2
_chemical_formula_sum 'Ca6 Ac4 Zn4'
_cell_length_a 13.718
_cell_length_b 3.939
_cell_length_c 9.999
_cell_angle_alpha 90.00
_cell_angle_beta 117.02
_cell_angle_gamma 90.00
_space_group_name_H-M_alt 'C 1 2/m 1'
_space_group_IT_number 12
loop_
_space_group_symop_operation_xyz
'x,y,z'
'-x,-y,-z'
'-x,y,-z'
'x,-y,z'
'x+1/2,y+1/2,z'
'-x+1/2,-y+1/2,-z'
'-x+1/2,y+1/2,-z'
'x+1/2,-y+1/2,z'
loop_
_atom_site_label
_atom_site_fract_x
_atom_site_fract_y
_atom_site_fract_z
Ca1 0.000 0.000 0.000
Ca2 0.118 0.000 0.441
Ac1 0.162 0.500 0.816
Zn1 0.169 0.500 0.235
```

Calculated values
Spin magnetization in μB per formula unit: 0.0
VASP energy in eV/atom: -2.51
Crystal system: monoclinic
Offset from the most stable computed form in meV/atom: 0.0
Formation energy in eV/atom: -0.113

***

(5)
DFT (PBE) results for a relaxed Ca2Ac2Zn3 crystal.

Geometry as CIF:
```
data_Ca2Ac2Zn3
_chemical_formula_sum 'Ca6 Ac6 Zn9'
_cell_length_a 5.4280
_cell_length_b 5.4280
_cell_length_c 25.7610
_cell_angle_alpha 90.00
_cell_angle_beta 90.00
_cell_angle_gamma 120.00
_space_group_name_H-M_alt 'R -3 m'
_space_group_IT_number 166
_space_group_name_Hall '-R 3 2"'
loop_
_atom_site_label
_atom_site_fract_x
_atom_site_fract_y
_atom_site_fract_z
Ca1 0.0000 0.0000 0.1278
Ac1 0.0000 0.0000 0.3801
Zn1 0.0000 0.0000 0.0000
Zn2 0.0000 0.0000 0.2502
```

Calculated values
Spin magnetization in μB per formula unit: 0.0
VASP energy in eV/atom: -2.45
Crystal system: trigonal
Formation energy in eV/atom: -0.163

***

(6)
DFT (PBE) results for a relaxed CaAcZn4 crystal.

Geometry as CIF:
```
data_CaAcZn4
_chemical_formula_sum 'Ca4 Ac4 Zn16'
_cell_length_a 8.083
_cell_length_b 8.083
_cell_length_c 8.083
_cell_angle_alpha 90.00
_cell_angle_beta 90.00
_cell_angle_gamma 90.00
_space_group_name_H-M_alt 'F -4 3 m'
_space_group_IT_number 216
_space_group_name_Hall 'F -4 2 3'
loop_
_atom_site_label
_atom_site_fract_x
_atom_site_fract_y
_atom_site_fract_z
Ca1 0.000 0.000 0.000
Ac1 0.250 0.250 0.750
Zn1 0.125 0.125 0.375
```

Calculated values
Spin magnetization in μB per formula unit: 0.0
VASP energy in eV/atom: -2.10
Crystal system: cubic
Offset from the most stable computed form in meV/atom: 55.5
Formation energy in eV/atom: -0.235

***

(7)
DFT (PBE) results for a relaxed CaAc5Zn6 crystal.

Geometry as CIF:
```
data_CaAc5Zn6
_chemical_formula_sum 'Ca2 Ac10 Zn12'
_cell_length_a 5.475
_cell_length_b 16.497
_cell_length_c 7.771
_cell_angle_alpha 90.00
_cell_angle_beta 90.00
_cell_angle_gamma 90.00
_space_group_name_H-M_alt 'C m m m'
_space_group_IT_number 65
_space_group_name_Hall '-C 2 2'
loop_
_atom_site_label
_atom_site_fract_x
_atom_site_fract_y
_atom_site_fract_z
Ca1 0.000 0.000 0.000
Ac1 0.000 0.000 0.500
Ac2 0.000 0.331 0.500
Ac3 0.000 0.336 0.000
Zn1 0.000 0.164 0.246
Zn2 0.000 0.500 0.243
```

Calculated values
Spin magnetization in μB per formula unit: 0.0
VASP energy in eV/atom: -2.76
Crystal system: orthorhombic
Formation energy in eV/atom: -0.244

***

(8)
DFT (PBE) results for a relaxed Ca4AcZn crystal.

Geometry as CIF:
```
data_Ca4AcZn
_chemical_formula_sum 'Ca4 Ac1 Zn1'
_cell_length_a 3.818
_cell_length_b 3.818
_cell_length_c 15.079
_cell_angle_alpha 90.00
_cell_angle_beta 90.00
_cell_angle_gamma 90.00
_space_group_name_H-M_alt 'P 4/m m m'
_space_group_IT_number 123
_space_group_name_Hall '-P 4 2'
loop_
_atom_site_label
_atom_site_fract_x
_atom_site_fract_y
_atom_site_fract_z
Ca1 0.000 0.000 0.116
Ca2 0.500 0.500 0.308
Ac1 0.000 0.000 0.500
Zn1 0.500 0.500 0.000
```

Calculated values
Spin magnetization in μB per formula unit: 0.0
VASP energy in eV/atom: -2.28
Crystal system: tetragonal
Formation energy in eV/atom: -0.050